Density functional theory data (PBE) for Sm4CoPtCl2 after structural relaxation.

```
Sm4CoPtCl2
1.0
7.069 0.000 0.000
0.000 4.017 0.000
-2.403 0.000 7.403
Sm Co Pt Cl
4 1 1 2
Direct
0.224 0.000 0.201
0.245 0.500 0.797
0.755 0.500 0.203
0.776 0.000 0.799
0.000 0.500 0.000
0.500 0.000 0.000
0.000 0.000 0.500
0.500 0.500 0.500
```

Properties
SG: P2/m (10)
Formation energy from raw total energies: -1.09 eV per atom

=====

Density functional theory data (PBE) for Sm6Co2PtCl3 after structural relaxation.

```
Sm6Co2PtCl3
1.0
3.462 -6.006 0.000
3.462 6.006 0.000
-2.291 0.000 7.434
Sm Co Pt Cl
6 2 1 3
Direct
0.082 0.433 0.799
0.215 0.215 0.201
0.433 0.082 0.799
0.567 0.918 0.201
0.785 0.785 0.799
0.918 0.567 0.201
0.166 0.834 0.000
0.834 0.166 0.000
0.500 0.500 0.000
0.000 0.000 0.500
0.328 0.672 0.500
0.672 0.328 0.500
```

Properties
SG: C2/m (12)
Formation energy from raw total energies: -1.02 eV per atom

=====

Density functional theory data (PBE) for Sm8Co3PtCl4 after structural relaxation.

```
Sm8Co3PtCl4
1.0
3.980 2.298 7.427
-3.980 2.298 7.427
0.000 -4.596 7.427
Sm Co Pt Cl
8 3 1 4
Direct
0.220 0.741 0.741
0.234 0.234 0.234
0.259 0.259 0.780
0.259 0.780 0.259
0.741 0.220 0.741
0.741 0.741 0.220
0.766 0.766 0.766
0.780 0.259 0.259
0.000 0.000 0.500
0.000 0.500 0.000
0.500 0.000 0.000
0.500 0.500 0.500
0.000 0.000 0.000
0.000 0.500 0.500
0.500 0.000 0.500
0.500 0.500 0.000
```

Properties
SG: R-3m (166)
Formation energy from raw total energies: -0.97 eV per atom

=====

Density functional theory data (PBE) for CoSnPtCl2 after structural relaxation.

```
CoSnPtCl2
1.0
4.352 0.000 0.000
0.000 4.352 0.000
0.000 0.000 5.354
Co Sn Pt Cl
1 1 1 2
Direct
0.000 0.000 0.000
0.500 0.500 0.500
0.000 0.000 0.500
0.000 0.500 0.000
0.500 0.000 0.000
```

Properties
SG: P4/mmm (123)
Formation energy from raw total energies: 0.04 eV per atom

=====

Number 1: calculated density 7.32 g cm⁻³, E_tot -44.5 eV/cell. Number 2: calculated density 7.10 g cm⁻³, E_tot -66.3 eV/cell. Number 3: calculated density 6.99 g cm⁻³, E_tot -87.9 eV/cell. Number 4: calculated density 7.27 g cm⁻³, E_tot -20.6 eV/cell.